Entry 1:
The following is a PBE-GGA calculation of a geometry-optimized NbOs2F structure, from Alexandria via LeMat-Bulk.

Lattice parameters (Å, degrees): 6.1971 6.1971 6.1971 90.00 90.00 90.00
Last column: nearest neighbours and their distance in Å.
Space group Fm-3m (No. 225)
Unique sites:
Nb 0.0000 0.0000 0.0000  8 Os 2.68
Os 0.2500 0.2500 0.2500  4 F 2.68, 4 Nb 2.68
F 0.0000 0.0000 0.5000  8 Os 2.68

Output
Energy above the most stable polymorph in this dataset ... 0.155 eV/f.u.
E_form (uncorrected) ... 0.43 eV/atom
Theoretical density ... 13.7 Mg/m³

***

Entry 2:
The following is a PBE-GGA calculation of a geometry-optimized NbOs2F structure, from Alexandria via LeMat-Bulk.

Lattice parameters (Å, degrees): 6.9568 6.9568 4.9302 90.00 90.00 90.00
Last column: nearest neighbours and their distance in Å.
Space group I-42d (No. 122)
Unique sites:
Nb 0.0000 0.0000 0.0000  2 F 2.47, 4 Os 2.74
Os 0.2098 0.2500 0.6250  2 F 2.35, 2 Os 2.53
F 0.0000 0.0000 0.5000  4 Os 2.35, 2 Nb 2.47

Output
Energy above the most stable polymorph in this dataset ... 0.000 eV/f.u.
E_form (uncorrected) ... 0.39 eV/atom
Theoretical density ... 13.7 Mg/m³

***

Entry 3:
The following is a PBE-GGA calculation of a geometry-optimized Nb2OsF structure, from Alexandria via LeMat-Bulk.

Lattice parameters (Å, degrees): 6.2870 6.2870 6.2870 90.00 90.00 90.00
Last column: nearest neighbours and their distance in Å.
Space group Fm-3m (No. 225)
Unique sites:
Nb 0.2500 0.2500 0.2500  4 F 2.72, 4 Os 2.72
Os 0.0000 0.0000 0.0000  8 Nb 2.72
F 0.0000 0.0000 0.5000  8 Nb 2.72

Output
Energy above the most stable polymorph in this dataset ... 0.000 eV/f.u.
E_form (uncorrected) ... -0.27 eV/atom
Theoretical density ... 10.6 Mg/m³

***

Entry 4:
The following is a PBE-GGA calculation of a geometry-optimized NbOsPb2F structure, from Alexandria via LeMat-Bulk.

Lattice parameters (Å, degrees): 5.6206 5.6206 4.6501 90.00 90.00 90.00
Last column: nearest neighbours and their distance in Å.
Space group P4/mmm (No. 123)
Unique sites:
Nb 0.0000 0.0000 0.0000  2 Os 2.33
Os 0.0000 0.0000 0.5000  2 Nb 2.33
Pb 0.0000 0.5000 0.0000  2 Nb 2.81
F 0.5000 0.5000 0.5000  8 Pb 3.65, 4 Os 3.97

Output
E_form (uncorrected) ... 0.76 eV/atom
Theoretical density ... 8.1 Mg/m³